Below is a relaxed structure of PuMg2Sn, with properties calculated at the PBE level.

## Properties
As for the volume: 98.7 Å³ per cell. The space group is P4/mmm (123). The calculation puts the energy of formation from the pure elements at -172 meV per atom. The calculation puts the raw total energy at -5.553 eV/atom. The polymorph energy (0 for the lowest one) comes out at 0.000 eV/atom.

Unit cell a=4.810 b=4.530 c=4.530 alpha=90.00 beta=90.00 gamma=90.00
Sites, in units of the cell vectors:
Sn  0.500  0.000  0.000
Mg  0.000  0.000  0.500
Mg  0.000  0.500  0.000
Pu  0.500  0.500  0.500

***

Below is a relaxed structure of LaHo2Bi2, with properties calculated at the PBE level.

## Properties
As for the volume: 357.2 Å³ per cell. The space group is C2/c (15). The calculation puts the energy of formation from the pure elements at -421 meV per atom. The calculation puts the raw total energy at -4.790 eV/atom.

Unit cell a=8.282 b=8.282 c=7.579 alpha=119.94 beta=119.94 gamma=93.07
Sites, in units of the cell vectors:
La  0.124  0.376  0.250
La  0.876  0.624  0.750
Bi  0.151  0.349  0.750
Bi  0.849  0.651  0.250
Bi  0.603  0.897  0.750
Bi  0.397  0.103  0.250
Ho  0.219  0.964  0.439
Ho  0.781  0.036  0.561
Ho  0.464  0.719  0.939
Ho  0.536  0.281  0.061

***

Below is a relaxed structure of Li2Zn2Cu5Sn, with properties calculated at the PBE level.

## Properties
As for the volume: 291.6 Å³ per cell. The space group is P4/mbm (127). The calculation puts the energy of formation from the pure elements at -61 meV per atom. The calculation puts the raw total energy at -3.147 eV/atom.

Unit cell a=4.059 b=8.476 c=8.476 alpha=90.00 beta=90.00 gamma=90.00
Sites, in units of the cell vectors:
Cu  0.500  0.500  0.000
Cu  0.500  0.293  0.576
Cu  0.500  0.793  0.924
Cu  0.500  0.707  0.424
Cu  0.500  0.076  0.793
Cu  0.500  0.424  0.293
Cu  0.500  0.000  0.500
Cu  0.500  0.924  0.207
Cu  0.500  0.576  0.707
Cu  0.500  0.207  0.076
Zn  0.000  0.883  0.383
Zn  0.000  0.383  0.117
Zn  0.000  0.617  0.883
Zn  0.000  0.117  0.617
Li  0.000  0.822  0.678
Li  0.000  0.322  0.822
Li  0.000  0.178  0.322
Li  0.000  0.678  0.178
Sn  0.000  0.500  0.500
Sn  0.000  0.000  0.000

***

Below is a relaxed structure of Er3Sn2Ge, with properties calculated at the PBE level.

## Properties
As for the volume: 625.9 Å³ per cell. The space group is Pnma (62). The calculation puts the energy of formation from the pure elements at -620 meV per atom. The calculation puts the raw total energy at -5.005 eV/atom.

Unit cell a=4.300 b=11.785 c=12.351 alpha=90.00 beta=90.00 gamma=90.00
Sites, in units of the cell vectors:
Er  0.250  0.048  0.884
Er  0.750  0.619  0.948
Er  0.250  0.780  0.744
Er  0.750  0.220  0.256
Er  0.750  0.548  0.616
Er  0.750  0.280  0.756
Er  0.250  0.452  0.384
Er  0.250  0.381  0.052
Er  0.750  0.881  0.448
Er  0.250  0.720  0.244
Er  0.750  0.952  0.116
Er  0.250  0.119  0.552
Sn  0.750  0.003  0.687
Sn  0.750  0.207  0.988
Sn  0.250  0.793  0.012
Sn  0.750  0.497  0.187
Sn  0.250  0.707  0.512
Sn  0.250  0.503  0.813
Sn  0.250  0.997  0.313
Sn  0.750  0.293  0.488
Ge  0.250  0.372  0.625
Ge  0.750  0.872  0.875
Ge  0.750  0.628  0.375
Ge  0.250  0.128  0.125

***

Below is a relaxed structure of Tb3DyHo2As6, with properties calculated at the PBE level.

## Properties
As for the volume: 297.1 Å³ per cell. The space group is C2/m (12). The calculation puts the energy of formation from the pure elements at -1536 meV per atom. The calculation puts the raw total energy at -6.165 eV/atom.

Unit cell a=4.123 b=8.242 c=9.216 alpha=102.90 beta=102.93 gamma=90.00
Sites, in units of the cell vectors:
Ho  0.833  0.667  0.667
Ho  0.167  0.333  0.333
Tb  0.500  0.500  0.000
Tb  0.167  0.833  0.333
Tb  0.833  0.167  0.667
As  0.999  0.751  0.999
As  0.667  0.582  0.334
As  0.334  0.915  0.667
As  0.001  0.249  0.001
As  0.333  0.418  0.666
As  0.666  0.085  0.333
Dy  0.500  0.000  0.000

***

Below is a relaxed structure of Ba3Os, with properties calculated at the PBE level.

## Properties
As for the volume: 176.2 Å³ per cell. The space group is Immm (71). The calculation puts the energy of formation from the pure elements at 544 meV per atom. The calculation puts the raw total energy at -3.706 eV/atom.

Unit cell a=8.685 b=8.685 c=8.685 alpha=154.31 beta=141.52 gamma=46.85
Sites, in units of the cell vectors:
Ba  0.000  0.500  0.500
Ba  0.346  0.346  0.000
Ba  0.654  0.654  0.000
Os  0.500  0.000  0.500

***

Below is a relaxed structure of Co2CuNi, with properties calculated at the PBE level.

## Properties
As for the volume: 44.5 Å³ per cell. The space group is R-3m (166). The calculation puts the energy of formation from the pure elements at 56 meV per atom. The calculation puts the raw total energy at -5.966 eV/atom. The polymorph energy (0 for the lowest one) comes out at 0.036 eV/atom.

Unit cell a=8.439 b=8.439 c=8.439 alpha=16.93 beta=16.93 gamma=16.93
Sites, in units of the cell vectors:
Co  0.002  0.002  0.002
Co  0.498  0.498  0.498
Cu  0.250  0.250  0.250
Ni  0.750  0.750  0.750

***

Below is a relaxed structure of TbYHo, with properties calculated at the PBE level.

## Properties
As for the volume: 200.1 Å³ per cell. The space group is P4/nmm (129). The calculation puts the energy of formation from the pure elements at 217 meV per atom. The calculation puts the raw total energy at -5.007 eV/atom. The polymorph energy (0 for the lowest one) comes out at 0.196 eV/atom.

Unit cell a=4.826 b=4.826 c=8.593 alpha=90.00 beta=90.00 gamma=90.00
Sites, in units of the cell vectors:
Y  0.500  0.000  0.694
Y  0.000  0.500  0.306
Ho  0.500  0.000  0.295
Ho  0.000  0.500  0.705
Tb  0.000  0.000  0.000
Tb  0.500  0.500  0.000

***

Below is a relaxed structure of Na3MoCl6, with properties calculated at the PBE level.

## Properties
As for the volume: 482.4 Å³ per cell. The space group is P2_1/c (14). As for the energy relative to the elements, uncorrected: -1412 meV per atom. The calculation puts the raw total energy at -3.999 eV/atom.

Unit cell a=6.757 b=7.155 c=9.977 alpha=90.00 beta=89.93 gamma=90.00
Sites, in units of the cell vectors:
Cl  0.296  0.822  0.936
Cl  0.834  0.710  0.074
Cl  0.634  0.447  0.728
Cl  0.866  0.947  0.772
Cl  0.704  0.178  0.064
Cl  0.366  0.553  0.272
Cl  0.166  0.290  0.926
Cl  0.796  0.678  0.436
Cl  0.334  0.790  0.574
Cl  0.134  0.053  0.228
Cl  0.204  0.322  0.564
Cl  0.666  0.210  0.426
Na  0.968  0.418  0.254
Na  0.532  0.918  0.246
Na  0.468  0.082  0.754
Na  0.032  0.582  0.746
Na  0.500  0.500  0.000
Na  0.000  0.000  0.500
Mo  0.500  0.500  0.500
Mo  0.000  0.000  0.000

***

Which of these has the lowest raw total energy? Tb3DyHo2As6